Entry 1:
K2ThNpS6 after structural relaxation, computed with PBE-GGA.

Output
As for the formation energy from raw total energies: -1.36 eV/atom. The value obtained for the total energy is -121.76 eV for the cell shown. The space group is P2_1/c, No. 14.

a b c (Å): 7.348 7.417 10.459
angles (deg): 90.00 90.16 90.00
Last column: magnetic moment on the atom in μB.
Fractional positions:
K 0.007 0.966 0.250  0.00
K 0.507 0.534 0.750  0.00
K 0.993 0.034 0.750  0.00
K 0.493 0.466 0.250  0.00
Th 0.500 0.000 0.000  -0.04
Th 0.000 0.500 0.500  -0.04
Np 0.500 0.000 0.500  1.65
Np 0.000 0.500 0.000  1.65
S 0.274 0.706 0.030  -0.07
S 0.774 0.794 0.530  -0.07
S 0.726 0.294 0.970  -0.07
S 0.226 0.206 0.470  -0.07
S 0.295 0.726 0.469  -0.07
S 0.795 0.774 0.969  -0.07
S 0.705 0.274 0.531  -0.07
S 0.205 0.226 0.031  -0.07
S 0.941 0.510 0.240  -0.07
S 0.441 0.990 0.740  -0.07
S 0.059 0.490 0.760  -0.07
S 0.559 0.010 0.260  -0.07

=====

Entry 2:
K4Th3NpS8 after structural relaxation, computed with PBE-GGA.

Output
As for the formation energy from raw total energies: -1.61 eV/atom. The value obtained for the total energy is -98.40 eV for the cell shown. The space group is R-3m, No. 166.

a b c (Å): 8.220 8.854 8.220
angles (deg): 117.66 120.00 90.00
Last column: magnetic moment on the atom in μB.
Fractional positions:
K 0.500 0.000 0.000  0.00
K 0.500 0.000 0.500  0.00
K 0.000 0.000 0.000  0.00
K 0.000 0.000 0.500  0.00
Th 0.500 0.500 0.000  0.16
Th 0.500 0.500 0.500  0.16
Th 0.000 0.500 0.500  0.16
Np 0.000 0.500 0.000  4.07
S 0.236 0.710 0.974  -0.02
S 0.236 0.710 0.473  -0.02
S 0.262 0.286 0.524  0.00
S 0.737 0.710 0.974  -0.02
S 0.263 0.290 0.026  -0.02
S 0.738 0.714 0.476  0.00
S 0.764 0.290 0.527  -0.02
S 0.764 0.290 0.026  -0.02

=====

Entry 3:
K3Np2TiS6 after structural relaxation, computed with PBE-GGA.

Output
As for the formation energy from raw total energies: -1.37 eV/atom. The value obtained for the total energy is -78.24 eV for the cell shown. The space group is C2/m, No. 12.

a b c (Å): 6.816 6.816 7.722
angles (deg): 98.47 98.47 120.01
Last column: magnetic moment on the atom in μB.
Fractional positions:
K 0.168 0.832 0.500  0.00
K 0.832 0.168 0.500  0.00
K 0.500 0.500 0.500  0.00
Np 0.333 0.667 0.000  3.79
Np 0.667 0.333 0.000  3.79
Ti 0.000 0.000 0.000  1.07
S 0.934 0.618 0.803  -0.07
S 0.750 0.750 0.197  -0.07
S 0.066 0.382 0.197  -0.07
S 0.618 0.934 0.803  -0.07
S 0.250 0.250 0.803  -0.07
S 0.382 0.066 0.197  -0.07

=====

Entry 4:
K2Np2TiS6 after structural relaxation, computed with PBE-GGA.

Output
As for the formation energy from raw total energies: -1.38 eV/atom. The value obtained for the total energy is -75.97 eV for the cell shown. The space group is C2/m, No. 12.

a b c (Å): 6.666 6.666 7.877
angles (deg): 98.26 98.26 119.46
Last column: magnetic moment on the atom in μB.
Fractional positions:
K 0.831 0.169 0.000  0.00
K 0.169 0.831 0.000  0.00
Np 0.334 0.666 0.500  3.60
Np 0.666 0.334 0.500  3.60
Ti 0.000 0.000 0.500  0.79
S 0.755 0.755 0.691  -0.08
S 0.065 0.378 0.691  -0.08
S 0.245 0.245 0.309  -0.08
S 0.378 0.065 0.691  -0.08
S 0.935 0.622 0.309  -0.08
S 0.622 0.935 0.309  -0.08